# 1
4
Lattice="1.7402 1.0047 11.0154 -1.7402 1.0047 11.0154 0.0000 -2.0094 11.0154" Properties=species:S:1:pos:R:3 comment="PBE Er2TmSc, optimized geometry" relative_energy_ev_per_fu=0.013 pbc="T T T"
Er 0.0000 0.0000 0.0000
Er 0.0000 0.0000 5.6417
Tm 0.0000 0.0000 24.8398
Sc 0.0000 0.0000 19.3554


# 2
12
Lattice="8.6425 -1.6994 0.0000 8.6425 1.6994 0.0000 -6.3906 0.0000 12.2175" Properties=species:S:1:pos:R:3 comment="PBE Er2Tm3Sc, optimized geometry" relative_energy_ev_per_fu=0.630 pbc="T T T"
Er -0.2994 0.0000 5.7268
Er 4.7733 0.0000 1.4673
Er 6.1211 0.0000 10.7502
Er 11.1938 0.0000 6.4907
Tm 1.5504 0.0000 0.3116
Tm 2.3044 0.0000 3.5883
Tm 2.9623 0.0000 9.5758
Tm 7.9321 0.0000 2.6417
Tm 8.5900 0.0000 8.6292
Tm 9.3441 0.0000 11.9059
Sc -3.0286 0.0000 7.8326
Sc 13.9231 0.0000 4.3849


# 3
VASP calculation (PBE) on an optimized crystal structure of Er3Tm2Sc8.

```
13
Lattice="6.8356 -4.2991 0.0000 6.8356 4.2991 0.0000 -2.1042 0.0000 6.2207" Properties=species:S:1:pos:R:3 pbc="T T T"
Er 0.0000 0.0000 0.0000
Er 5.7835 2.7462 3.1103
Er 5.7835 -2.7462 3.1103
Tm 2.2479 0.0000 2.6431
Tm 9.3190 0.0000 3.5776
Sc 0.7693 0.0000 5.5632
Sc 3.4378 1.5739 5.2161
Sc 5.3086 0.0000 1.6021
Sc 8.1292 1.5739 1.0045
Sc 3.4378 -1.5739 5.2161
Sc 6.2584 0.0000 4.6186
Sc 8.1292 -1.5739 1.0045
Sc 10.7977 0.0000 0.6575
```


# 4
8
Lattice="5.8811 0.0000 0.0000 -1.9913 5.5772 0.0000 -0.0042 -0.0119 6.8470" Properties=species:S:1:pos:R:3 comment="PBE Er4TmSc3, optimized geometry" relative_energy_ev_per_fu=0.288 pbc="T T T"
Er 0.0000 0.0000 0.0000
Er -0.0021 -0.0059 3.4235
Er 4.8834 2.7849 1.6952
Er -0.9979 2.7805 5.1518
Tm 1.9428 2.7827 3.4235
Sc 0.9474 5.5733 1.6891
Sc 2.9381 -0.0080 5.1579
Sc 1.9449 2.7886 0.0000


| no. | size of the total moment (μB per atom) | ΔE_f (meV per atom) | calculated total energy (eV per atom) |
| --- | --- | --- | --- |
| 1 | 0.00 | 31 | -4.9515 |
| 2 | 0.01 | 144 | -4.6676 |
| 3 | 0.00 | 248 | -5.3891 |
| 4 | 0.00 | 52 | -5.1630 |